Entry a
SnSbTe2Br after structural relaxation, computed with PBE.

a b c (Å): 5.6565 5.6565 5.5119
angles (deg): 90.00 90.00 90.00
Atoms (fractional coordinates):
1 Sn 0.0000 0.0000 0.0000
2 Sb 0.5000 0.5000 0.0000
3 Te 0.0000 0.5000 0.5000
4 Te 0.5000 0.0000 0.5000
5 Br 0.5000 0.5000 0.5000

Results
V: 35.3 A^3/atom
Magnetization: 0.00 μB per formula unit
D(E_F): 1.9025 states/eV/atom

---

Entry b
SnSbTe2Br after structural relaxation, computed with PBE.

a b c (Å): 5.6461 5.6461 5.8941
angles (deg): 90.00 90.00 90.00
Atoms (fractional coordinates):
1 Sn 0.0000 0.0000 0.0000
2 Sb 0.0000 0.0000 0.5000
3 Te 0.0000 0.5000 0.0000
4 Te 0.5000 0.0000 0.0000
5 Br 0.5000 0.5000 0.5000

Results
V: 37.6 A^3/atom
Magnetization: 0.00 μB per formula unit
D(E_F): 1.2933 states/eV/atom

---

Here is how they stack up, most stable first: entry b, entry a.

---

Entry a
SrSb2Br after structural relaxation, computed with PBE.

a b c (Å): 7.9619 7.9619 7.9619
angles (deg): 90.00 90.00 90.00
Atoms (fractional coordinates):
1 Sr 0.0000 0.0000 0.0000
2 Sr 0.0000 0.5000 0.5000
3 Sr 0.5000 0.0000 0.5000
4 Sr 0.5000 0.5000 0.0000
5 Sb 0.2500 0.2500 0.2500
6 Sb 0.2500 0.2500 0.7500
7 Sb 0.2500 0.7500 0.2500
8 Sb 0.2500 0.7500 0.7500
9 Sb 0.7500 0.2500 0.2500
10 Sb 0.7500 0.2500 0.7500
11 Sb 0.7500 0.7500 0.2500
12 Sb 0.7500 0.7500 0.7500
13 Br 0.0000 0.0000 0.5000
14 Br 0.0000 0.5000 0.0000
15 Br 0.5000 0.0000 0.0000
16 Br 0.5000 0.5000 0.5000

Results
V: 31.5 A^3/atom
Magnetization: 0.00 μB per formula unit
D(E_F): 1.3636 states/eV/atom

---

Entry b
SrSb2Br after structural relaxation, computed with PBE.

a b c (Å): 4.4709 4.4709 27.0187
angles (deg): 90.00 90.00 90.00
Atoms (fractional coordinates):
1 Sr 0.0000 0.0000 0.0000
2 Sr 0.0000 0.5000 0.2500
3 Sr 0.5000 0.0000 0.7500
4 Sr 0.5000 0.5000 0.5000
5 Sb 0.2044 0.2500 0.1250
6 Sb 0.2500 0.7044 0.3750
7 Sb 0.2500 0.7956 0.8750
8 Sb 0.2956 0.2500 0.6250
9 Sb 0.7044 0.7500 0.6250
10 Sb 0.7500 0.2044 0.8750
11 Sb 0.7500 0.2956 0.3750
12 Sb 0.7956 0.7500 0.1250
13 Br 0.0000 0.0000 0.5000
14 Br 0.0000 0.5000 0.7500
15 Br 0.5000 0.0000 0.2500
16 Br 0.5000 0.5000 0.0000

Results
V: 33.8 A^3/atom
Magnetization: 0.00 μB per formula unit
D(E_F): 0.4161 states/eV/atom

---

Here is how they stack up, most stable first: entry b, entry a.

---

Entry a
SrSb2Br after structural relaxation, computed with PBE.

a b c (Å): 4.3223 4.3452 6.7097
angles (deg): 90.00 90.17 90.00
Atoms (fractional coordinates):
1 Sr 0.0000 0.0000 0.0000
2 Sb 0.0000 0.5000 0.5000
3 Sb 0.5000 0.0000 0.5000
4 Br 0.5000 0.5000 0.0000

Results
V: 31.5 A^3/atom
Magnetization: 0.00 μB per formula unit
D(E_F): 0.3294 states/eV/atom

---

Entry b
SrSb2Br after structural relaxation, computed with PBE.

a b c (Å): 13.3420 4.3242 4.6021
angles (deg): 90.00 100.01 90.00
Atoms (fractional coordinates):
1 Sr 0.0000 0.0000 0.0000
2 Sr 0.5000 0.5000 0.0000
3 Sb 0.2480 0.0000 0.7932
4 Sb 0.2520 0.5000 0.2068
5 Sb 0.7480 0.5000 0.7932
6 Sb 0.7520 0.0000 0.2068
7 Br 0.0000 0.5000 0.5000
8 Br 0.5000 0.0000 0.5000

Results
V: 32.7 A^3/atom
Magnetization: 0.00 μB per formula unit
D(E_F): 0.3707 states/eV/atom

---

Entry c
SrSb2Br after structural relaxation, computed with PBE.

a b c (Å): 3.5336 5.8984 6.2643
angles (deg): 90.00 104.59 90.00
Atoms (fractional coordinates):
1 Sr 0.0000 0.0000 0.0000
2 Sb 0.3927 0.5000 0.7679
3 Sb 0.6073 0.5000 0.2321
4 Br 0.5000 0.0000 0.5000

Results
V: 31.6 A^3/atom
Magnetization: 0.00 μB per formula unit
D(E_F): 0.4106 states/eV/atom

---

Here is how they stack up, most stable first: entry b, entry a, entry c.